Density functional theory data (PBE-GGA) for a relaxed Y7Er4Pu crystal.

Output
- Electronic total energy: -72.487 eV per formula unit
- Symmetry: C2/m
- Volume: 375 Å³ per cell
- ΔE_f: 42.98 kJ/mol of atoms

```
12
Lattice="8.173 -2.879 0.000 8.173 2.879 0.000 -4.817 0.000 7.974" Properties=species:S:1:pos:R:3 pbc="T T T"
Y 0.000 0.000 0.000
Y -0.925 0.000 7.081
Y 2.199 0.000 5.504
Y 5.950 0.000 2.199
Y 5.580 0.000 5.775
Y 9.331 0.000 2.470
Y 12.455 0.000 0.893
Er -0.673 0.000 3.622
Er 2.710 0.000 2.287
Er 8.820 0.000 5.687
Er 12.203 0.000 4.352
Pu 8.173 0.000 0.000
```